Record 1
VASP calculation (GGA-PBE) on crystalline Ta4MoS10 at its relaxed geometry.

Unit cell a=14.136 b=14.136 c=7.224 alpha=102.13 beta=102.13 gamma=13.46
Atoms (fractional coordinates):
Ta1 0.000 0.000 0.000
Ta2 0.203 0.203 0.405
Ta3 0.395 0.395 0.790
Ta4 0.600 0.600 0.199
Mo1 0.800 0.800 0.600
S1 0.118 0.118 0.461
S2 0.151 0.151 0.077
S3 0.314 0.314 0.856
S4 0.348 0.348 0.467
S5 0.516 0.516 0.260
S6 0.550 0.550 0.871
S7 0.718 0.718 0.663
S8 0.752 0.752 0.277
S9 0.915 0.915 0.053
S10 0.949 0.949 0.674

Computed properties:
- M_tot (μB per formula unit) = 0.00
- ρ (g/cm3) = 5.77
- DFT total energy (eV/atom) = -7.651
- volume (Å³ per cell) = 328
- uncorrected formation energy (eV per atom) = -1.02



Record 2
VASP calculation (GGA-PBE) on crystalline Ta3MoS8 at its relaxed geometry.

Unit cell a=13.560 b=13.560 c=5.737 alpha=93.92 beta=93.92 gamma=14.04
Atoms (fractional coordinates):
Ta1 0.000 0.000 0.000
Ta2 0.250 0.250 0.752
Ta3 0.500 0.500 0.500
Mo1 0.750 0.750 0.249
S1 0.058 0.058 0.685
S2 0.192 0.192 0.394
S3 0.307 0.307 0.431
S4 0.441 0.441 0.147
S5 0.558 0.558 0.185
S6 0.692 0.692 0.901
S7 0.807 0.807 0.939
S8 0.942 0.942 0.648

Computed properties:
- M_tot (μB per formula unit) = 0.00
- ρ (g/cm3) = 5.82
- DFT total energy (eV/atom) = -7.618
- volume (Å³ per cell) = 255
- uncorrected formation energy (eV per atom) = -1.00



Record 3
VASP calculation (GGA-PBE) on crystalline Ta2MoS6 at its relaxed geometry.

Unit cell a=5.716 b=5.716 c=6.962 alpha=97.88 beta=97.88 gamma=120.00
Atoms (fractional coordinates):
Ta1 0.167 0.833 0.000
Ta2 0.833 0.167 0.000
Mo1 0.500 0.500 0.000
S1 0.094 0.094 0.767
S2 0.249 0.249 0.232
S3 0.422 0.751 0.767
S4 0.578 0.906 0.232
S5 0.751 0.422 0.767
S6 0.906 0.578 0.232

Computed properties:
- M_tot (μB per formula unit) = 0.00
- ρ (g/cm3) = 5.70
- DFT total energy (eV/atom) = -7.569
- volume (Å³ per cell) = 189
- uncorrected formation energy (eV per atom) = -0.98



Record 4
VASP calculation (GGA-PBE) on crystalline TaMoS3 at its relaxed geometry.

Unit cell a=4.780 b=4.780 c=4.780 alpha=90.00 beta=90.00 gamma=90.00
Atoms (fractional coordinates):
Ta1 0.000 0.000 0.000
Mo1 0.500 0.500 0.500
S1 0.000 0.000 0.500
S2 0.000 0.500 0.000
S3 0.500 0.000 0.000

Computed properties:
- M_tot (μB per formula unit) = 4.60
- ρ (g/cm3) = 5.67
- DFT total energy (eV/atom) = -6.709
- volume (Å³ per cell) = 109
- uncorrected formation energy (eV per atom) = 0.30



Record 5
VASP calculation (GGA-PBE) on crystalline TaMo3S at its relaxed geometry.

Unit cell a=4.413 b=4.413 c=4.413 alpha=90.00 beta=90.00 gamma=90.00
Atoms (fractional coordinates):
Ta1 0.000 0.000 0.000
Mo1 0.000 0.500 0.500
Mo2 0.500 0.000 0.500
Mo3 0.500 0.500 0.000
S1 0.500 0.500 0.500

Computed properties:
- M_tot (μB per formula unit) = 0.00
- ρ (g/cm3) = 9.68
- DFT total energy (eV/atom) = -9.278
- volume (Å³ per cell) = 86
- uncorrected formation energy (eV per atom) = 0.42



Record 6
VASP calculation (GGA-PBE) on crystalline Ta2MoS6 at its relaxed geometry.

Unit cell a=8.516 b=8.516 c=7.627 alpha=114.06 beta=114.06 gamma=22.74
Atoms (fractional coordinates):
Ta1 0.151 0.151 0.302
Ta2 0.849 0.849 0.698
Mo1 0.500 0.500 0.000
S1 0.001 0.001 0.762
S2 0.323 0.323 0.440
S3 0.339 0.339 0.919
S4 0.661 0.661 0.081
S5 0.677 0.677 0.560
S6 0.999 0.999 0.238

Computed properties:
- M_tot (μB per formula unit) = 0.00
- ρ (g/cm3) = 5.55
- DFT total energy (eV/atom) = -7.521
- volume (Å³ per cell) = 194
- uncorrected formation energy (eV per atom) = -0.93



Record 7
VASP calculation (GGA-PBE) on crystalline TaMo3S at its relaxed geometry.

Unit cell a=4.805 b=4.805 c=4.805 alpha=90.00 beta=90.00 gamma=90.00
Atoms (fractional coordinates):
Ta1 0.000 0.000 0.000
Mo1 0.000 0.000 0.500
Mo2 0.000 0.500 0.000
Mo3 0.500 0.000 0.000
S1 0.500 0.500 0.500

Computed properties:
- M_tot (μB per formula unit) = 0.00
- ρ (g/cm3) = 7.50
- DFT total energy (eV/atom) = -7.571
- volume (Å³ per cell) = 111
- uncorrected formation energy (eV per atom) = 2.12



Record 8
VASP calculation (GGA-PBE) on crystalline Ta2MoS at its relaxed geometry.

Unit cell a=9.621 b=9.621 c=9.621 alpha=156.59 beta=156.59 gamma=33.35
Atoms (fractional coordinates):
Ta1 0.114 0.625 0.989
Ta2 0.375 0.364 0.489
Ta3 0.636 0.125 0.011
Ta4 0.875 0.886 0.511
Mo1 0.250 0.750 0.500
Mo2 0.500 0.500 0.000
S1 0.000 0.000 0.000
S2 0.750 0.250 0.500

Computed properties:
- M_tot (μB per formula unit) = 0.00
- ρ (g/cm3) = 11.59
- DFT total energy (eV/atom) = -9.125
- volume (Å³ per cell) = 140
- uncorrected formation energy (eV per atom) = 0.54